{
  "formula": "CoHO",
  "functional": "GGA+U",
  "state": "relaxed",
  "lattice": [[-1.490, 1.490, 3.928], [1.490, -1.490, 3.928], [1.490, 1.490, -3.928]],
  "species": ["Co", "H", "O"],
  "frac_coords": [[0.000, 0.000, 0.000], [0.324, 0.324, 0.000], [0.451, 0.451, 0.000]],
  "dft_energy_ev_per_atom": -4.80,
  "crystal_system": "tetragonal"
}